Entry 1:
! SrMnZnP | the Alexandria database | PBE-GGA | relaxed; values from VASP
! ΔE_f	-0.53	eV/atom
! total magnetization	0.360	μB per atom
! density	4.81	g cm⁻³
! SG	P4/nmm, No. 129
! N(E_F)	4.50	states/eV per cell
! calculated total energy	-4.92	eV/atom
&SYSTEM
  ibrav = 0, nat = 8, ntyp = 4
/
ATOMIC_SPECIES
Sr 87.62 Sr.upf
Mn 54.94 Mn.upf
Zn 65.41 Zn.upf
P 30.97 P.upf
CELL_PARAMETERS angstrom
3.735 0.000 0.000
0.000 3.735 0.000
0.000 0.000 11.817
ATOMIC_POSITIONS crystal
Sr 0.750 0.750 0.246
Sr 0.250 0.250 0.754
Mn 0.750 0.250 0.000
Mn 0.250 0.750 0.000
Zn 0.250 0.750 0.500
Zn 0.750 0.250 0.500
P 0.750 0.750 0.887
P 0.250 0.250 0.113


Entry 2:
! TaMnP | the Alexandria database | PBE-GGA | relaxed; values from VASP
! ΔE_f	-0.32	eV/atom
! total magnetization	0.253	μB per atom
! density	9.91	g cm⁻³
! SG	F-43m, No. 216
! N(E_F)	2.74	states/eV per cell
! calculated total energy	-9.13	eV/atom
&SYSTEM
  ibrav = 0, nat = 3, ntyp = 3
/
ATOMIC_SPECIES
Ta 180.95 Ta.upf
Mn 54.94 Mn.upf
P 30.97 P.upf
CELL_PARAMETERS angstrom
2.291 -2.476 2.121
1.294 1.083 3.610
-1.463 -1.772 3.255
ATOMIC_POSITIONS crystal
Ta 0.500 0.500 0.500
Mn 0.250 0.250 0.250
P 0.000 0.000 0.000


Entry 3:
! TaMnP | the Alexandria database | PBE-GGA | relaxed; values from VASP
! ΔE_f	0.30	eV/atom
! total magnetization	0.162	μB per atom
! density	9.02	g cm⁻³
! SG	F-43m, No. 216
! N(E_F)	2.43	states/eV per cell
! calculated total energy	-8.51	eV/atom
&SYSTEM
  ibrav = 0, nat = 3, ntyp = 3
/
ATOMIC_SPECIES
Ta 180.95 Ta.upf
Mn 54.94 Mn.upf
P 30.97 P.upf
CELL_PARAMETERS angstrom
2.728 2.041 2.301
-0.498 0.212 4.075
2.539 -2.061 2.491
ATOMIC_POSITIONS crystal
Ta 0.250 0.250 0.250
Mn 0.000 0.000 0.000
P 0.500 0.500 0.500


Entry 4:
! Ta2MnP | the Alexandria database | PBE-GGA | relaxed; values from VASP
! ΔE_f	-0.05	eV/atom
! total magnetization	0.258	μB per atom
! density	11.60	g cm⁻³
! SG	R-3m, No. 166
! N(E_F)	2.31	states/eV per cell
! calculated total energy	-9.62	eV/atom
&SYSTEM
  ibrav = 0, nat = 4, ntyp = 3
/
ATOMIC_SPECIES
Ta 180.95 Ta.upf
Mn 54.94 Mn.upf
P 30.97 P.upf
CELL_PARAMETERS angstrom
-0.807 6.623 2.835
-3.675 5.218 3.439
-1.152 4.678 5.417
ATOMIC_POSITIONS crystal
Ta 0.746 0.746 0.746
Ta 0.254 0.254 0.254
Mn 0.500 0.500 0.500
P 0.000 0.000 0.000


Entry 5:
! Ta2MnP | the Alexandria database | PBE-GGA | relaxed; values from VASP
! ΔE_f	0.20	eV/atom
! total magnetization	0.515	μB per atom
! density	12.46	g cm⁻³
! SG	F-43m, No. 216
! N(E_F)	2.62	states/eV per cell
! calculated total energy	-9.38	eV/atom
&SYSTEM
  ibrav = 0, nat = 4, ntyp = 3
/
ATOMIC_SPECIES
Ta 180.95 Ta.upf
Mn 54.94 Mn.upf
P 30.97 P.upf
CELL_PARAMETERS angstrom
0.000 3.102 3.102
3.102 0.000 3.102
3.102 3.102 0.000
ATOMIC_POSITIONS crystal
Ta 0.000 0.000 0.000
Ta 0.750 0.750 0.750
Mn 0.500 0.500 0.500
P 0.250 0.250 0.250


Entry 6:
! TaMnP | the Alexandria database | PBE-GGA | relaxed; values from VASP
! ΔE_f	-0.16	eV/atom
! total magnetization	0.621	μB per atom
! density	9.68	g cm⁻³
! SG	P3m1, No. 156
! N(E_F)	2.30	states/eV per cell
! calculated total energy	-8.97	eV/atom
&SYSTEM
  ibrav = 0, nat = 3, ntyp = 3
/
ATOMIC_SPECIES
Ta 180.95 Ta.upf
Mn 54.94 Mn.upf
P 30.97 P.upf
CELL_PARAMETERS angstrom
1.714 -2.968 0.000
1.714 2.968 0.000
0.000 0.000 4.499
ATOMIC_POSITIONS crystal
Ta 0.333 0.667 0.625
Mn 0.000 0.000 0.077
P 0.667 0.333 0.298


Entry 7:
! TaMn2P | the Alexandria database | PBE-GGA | relaxed; values from VASP
! ΔE_f	-0.02	eV/atom
! total magnetization	0.487	μB per atom
! density	10.33	g cm⁻³
! SG	F-43m, No. 216
! N(E_F)	4.65	states/eV per cell
! calculated total energy	-8.92	eV/atom
&SYSTEM
  ibrav = 0, nat = 4, ntyp = 3
/
ATOMIC_SPECIES
Mn 54.94 Mn.upf
P 30.97 P.upf
Ta 180.95 Ta.upf
CELL_PARAMETERS angstrom
-1.880 -2.678 -2.605
0.692 -4.109 0.366
-3.030 -2.514 1.413
ATOMIC_POSITIONS crystal
Mn 0.000 0.000 0.000
Mn 0.250 0.250 0.250
P 0.500 0.500 0.500
Ta 0.750 0.750 0.750


Entry 8:
! TaMnP3 | the Alexandria database | PBE-GGA | relaxed; values from VASP
! ΔE_f	0.71	eV/atom
! excess energy over the best structure of this formula in the dataset	0	meV/atom
! total magnetization	0.738	μB per atom
! density	6.50	g cm⁻³
! SG	Pm-3m, No. 221
! N(E_F)	3.29	states/eV per cell
! calculated total energy	-6.74	eV/atom
&SYSTEM
  ibrav = 0, nat = 5, ntyp = 3
/
ATOMIC_SPECIES
P 30.97 P.upf
Mn 54.94 Mn.upf
Ta 180.95 Ta.upf
CELL_PARAMETERS angstrom
-1.579 0.236 -4.079
-0.107 -4.374 -0.211
-4.084 0.024 1.583
ATOMIC_POSITIONS crystal
P 0.000 0.500 0.000
P 0.000 0.000 0.500
P 0.500 0.000 0.000
Mn 0.000 0.000 0.000
Ta 0.500 0.500 0.500